Compound: Tb2Dy3Cd
Source: Alexandria via LeMat-Bulk
Functional: PBE
Structure: optimized geometry

Its energy above the most stable polymorph in this dataset is 0.249 eV/atom. The calculation puts the formation enthalpy at 0 K at 157 meV per atom.

The structure belongs to space group Imm2 (No. 44); the cell edges are 3.4414, 16.9746 and 6.4811 Å and the angles 90.00°, 90.00° and 90.00°. The inequivalent atoms are Tb at (0.0000, 0.1922, 0.0000), Dy at (0.0000, 0.1331, 0.4961), Dy at (0.0000, 0.5000, 0.6917) and Cd at (0.0000, 0.0000, 0.7980).